Entry from the Alexandria database: a relaxed structure of Zr2CrPO (GGA+U).

Geometry as CIF:
```
data_Zr2CrPO
_space_group_name_H-M_alt 'P 4/m m m'
_space_group_IT_number 123
_space_group_name_Hall '-P 4 2'
_cell_length_a 4.8340
_cell_length_b 4.8340
_cell_length_c 4.1301
_cell_angle_alpha 90.00
_cell_angle_beta 90.00
_cell_angle_gamma 90.00
loop_
_atom_site_label
_atom_site_type_symbol
_atom_site_fract_x
_atom_site_fract_y
_atom_site_fract_z
Zr1 Zr 0.0000 0.5000 0.0000
Cr1 Cr 0.0000 0.0000 0.0000
P1 P 0.0000 0.0000 0.5000
O1 O 0.5000 0.5000 0.5000
```

Computed properties:
* calculated density: 4.8 g/cm3
* total energy: -31.69 eV/cell